(1)
LaInNiPt, optimized geometry, DFT PBE; energy above the most stable polymorph in this dataset = 0.07 kcal/mol of atoms; volume = 85 Å³/f.u.
1.0
-2.616 1.462 -3.489
-1.634 -3.134 2.943
-3.357 6.782 5.359
In La Ni Pt
2 2 2 2
direct
0.000 0.000 0.000
0.000 0.000 0.500
0.667 0.333 0.256
0.333 0.667 0.744
0.333 0.667 0.441
0.667 0.333 0.559
0.333 0.667 0.095
0.667 0.333 0.905

=====

(2)
LaInNiPt, optimized geometry, DFT PBE; energy above the most stable polymorph in this dataset = 0.00 kcal/mol of atoms; volume = 85 Å³/f.u.
1.0
-0.516 4.250 -1.667
-0.609 -3.634 -2.745
-9.046 -0.205 2.280
In La Ni Pt
2 2 2 2
direct
0.000 0.000 0.260
0.000 0.000 0.740
0.667 0.333 0.000
0.333 0.667 0.500
0.667 0.333 0.322
0.667 0.333 0.678
0.333 0.667 0.179
0.333 0.667 0.821

=====

(3)
LaInNiS3, optimized geometry, DFT PBE; volume = 134 Å³/f.u.
1.0
-3.332 -1.545 0.860
-2.838 -1.783 -5.924
4.698 -9.753 0.685
In La Ni S
2 2 2 6
direct
0.247 0.505 0.250
0.753 0.495 0.750
0.000 0.000 0.000
0.000 0.000 0.500
0.525 0.950 0.250
0.475 0.050 0.750
0.644 0.711 0.097
0.922 0.156 0.250
0.644 0.711 0.403
0.356 0.289 0.597
0.078 0.844 0.750
0.356 0.289 0.903

=====

(4)
LaSmInNi2, optimized geometry, DFT PBE; volume = 113 Å³/f.u.
1.0
3.804 0.000 0.000
0.000 2.009 7.396
0.000 -2.009 7.396
In La Ni Sm
1 1 2 1
direct
0.500 0.003 0.003
0.000 0.361 0.361
0.500 0.200 0.200
0.500 0.798 0.798
0.000 0.638 0.638

=====

(5)
LaSm2In3Ni3, optimized geometry, DFT PBE; volume = 194 Å³/f.u.
1.0
-3.677 -1.404 -0.396
1.147 -4.637 5.788
-2.757 6.867 1.246
In La Ni Sm
3 1 3 2
direct
0.500 0.753 0.005
0.500 0.244 0.244
0.500 0.005 0.753
0.000 0.585 0.585
0.000 0.002 0.002
0.500 0.668 0.331
0.500 0.331 0.668
0.000 0.413 0.000
0.000 0.000 0.413

=====

(6)
LaTbIn2Ni4, optimized geometry, DFT PBE; energy above the most stable polymorph in this dataset = 1.27 kcal/mol of atoms; volume = 151 Å³/f.u.
1.0
-3.205 -0.672 -3.005
4.268 -0.164 -1.229
0.173 -8.658 1.753
In La Ni Tb
2 1 4 1
direct
0.333 0.667 0.263
0.333 0.667 0.737
0.000 0.000 0.000
0.667 0.333 0.189
0.000 0.000 0.333
0.000 0.000 0.667
0.667 0.333 0.811
0.667 0.333 0.500

=====

(7)
LaTb2In3Ni3, optimized geometry, DFT PBE; volume = 189 Å³/f.u.
1.0
3.871 0.000 0.000
0.000 6.478 3.778
0.000 -6.478 3.778
In La Ni Tb
3 1 3 2
direct
0.000 0.750 0.007
0.000 0.245 0.245
0.000 0.007 0.750
0.500 0.586 0.586
0.500 0.001 0.001
0.000 0.668 0.331
0.000 0.331 0.668
0.500 0.411 0.001
0.500 0.001 0.411

=====

(8)
LaTbIn2Ni4, optimized geometry, DFT PBE; energy above the most stable polymorph in this dataset = 0.00 kcal/mol of atoms; volume = 150 Å³/f.u.
1.0
-2.053 3.453 -0.550
-3.810 -1.779 3.048
3.224 2.822 5.677
In La Ni Tb
2 1 4 1
direct
0.500 0.000 0.344
0.500 0.500 0.644
0.000 0.000 0.731
0.500 0.258 0.006
0.500 0.742 0.006
0.000 0.000 0.111
0.000 0.500 0.889
0.000 0.500 0.268

=====

For each record above, in turn, the calculated DFT total energy values are -5.473, -5.476, -5.227, -5.178, -4.847, -5.049, -4.840, -5.105 eV/atom.
For each record above, in turn, the calculated magnetization values are 0.00, 0.00, 0.06, 0.00, 0.00, 0.00, 0.00, 0.00 μB/atom.